# 1
VASP calculation (PBE-GGA) on crystalline HfTiMn2 at its relaxed geometry.

Structure (POSCAR):
```
HfTiMn2
1.0
-3.3953 3.3953 2.7819
3.3953 -3.3953 2.7819
3.3953 3.3953 -2.7819
Hf Ti Mn
2 2 4
direct
0.0000 0.0000 0.0000
0.7500 0.2500 0.5000
0.2500 0.7500 0.5000
0.5000 0.5000 0.0000
0.1444 0.1250 0.5194
0.3750 0.8556 0.9806
0.6056 0.6250 0.4806
0.8750 0.3944 0.0194
```

As for the energy relative to the elements: 372 meV per atom.

# 2
VASP calculation (PBE-GGA) on crystalline KSrZn2Rh at its relaxed geometry.

Structure (POSCAR):
```
KSrZn2Rh
1.0
5.0926 0.0000 0.0000
0.0000 5.0926 0.0000
0.0000 0.0000 5.4720
K Sr Zn Rh
1 1 2 1
direct
0.0000 0.0000 0.0000
0.5000 0.5000 0.0000
0.0000 0.5000 0.5000
0.5000 0.0000 0.5000
0.5000 0.5000 0.5000
```

As for the energy relative to the elements: -75 meV per atom.

# 3
VASP calculation (PBE-GGA) on crystalline LiZnHPd2 at its relaxed geometry.

Structure (POSCAR):
```
LiZnHPd2
1.0
3.9957 0.0000 0.0000
0.0000 3.9957 0.0000
0.0000 0.0000 3.7674
Li Zn H Pd
1 1 1 2
direct
0.0000 0.0000 0.0000
0.5000 0.5000 0.0000
0.5000 0.5000 0.5000
0.0000 0.5000 0.5000
0.5000 0.0000 0.5000
```

For the relative energy among the computed polymorphs, the calculation gives 168.3 meV per atom.

Which formula does entry 1 have? HfTiMn2